The following is a PBE-GGA calculation of Na4CePa3N8 after structural relaxation, from the Alexandria database.

abc: 12.124 7.143 7.030
angles: 90.00 123.99 90.00
Space group C2/m (No. 12)
Unique sites:
Na (0.000, 0.000, 0.000) (multiplicity 2)
Na (0.000, 0.500, 0.000) (multiplicity 2)
Na (0.250, 0.250, 0.500) (multiplicity 4)
Ce (0.000, 0.000, 0.500) (multiplicity 2)
Pa (0.000, 0.500, 0.500) (multiplicity 2)
Pa (0.250, 0.250, 0.000) (multiplicity 4)
N (0.024, 0.259, 0.733) (multiplicity 8)
N (0.231, 0.500, 0.771) (multiplicity 4)
N (0.234, 0.000, 0.783) (multiplicity 4)

Results
The volume comes out at 15.77 A^3/atom. The value obtained for the total magnetization is 0.0 Bohr magnetons per cell. Its density of states at the Fermi level is 0.86 states/eV per atom. The calculation puts the total energy at -7.740 eV/atom. The uncorrected formation energy is -1.096 eV per atom.


The following is a PBE-GGA calculation of MnCuPRh2 after structural relaxation, from the Alexandria database.

abc: 4.489 4.489 4.172
angles: 90.00 90.00 90.00
Space group P4/mmm (No. 123)
Unique sites:
Mn (0.000, 0.000, 0.000) (multiplicity 1)
Cu (0.500, 0.500, 0.500) (multiplicity 1)
P (0.000, 0.000, 0.500) (multiplicity 1)
Rh (0.000, 0.500, 0.000) (multiplicity 2)

Results
The volume comes out at 16.81 A^3/atom. The value obtained for the total magnetization is 0.0 Bohr magnetons per cell. Its density of states at the Fermi level is 0.93 states/eV per atom. The calculation puts the total energy at -5.809 eV/atom. The formation energy comes out at 866 meV/atom.


The following is a PBE-GGA calculation of KMgHg2Cl8 after structural relaxation, from the Alexandria database.

abc: 6.5770 6.5770 9.2504
angles: 90.00 90.00 120.00
Space group P-3 (No. 147)
Unique sites:
K (0.0000, 0.0000, 0.0000) (multiplicity 1)
Mg (0.0000, 0.0000, 0.5000) (multiplicity 1)
Hg (0.3333, 0.6667, 0.7211) (multiplicity 2)
Cl (0.0353, 0.7154, 0.3354) (multiplicity 6)
Cl (0.3333, 0.6667, 0.9975) (multiplicity 2)

Results
The volume comes out at 28.88 A^3/atom. The value obtained for the total magnetization is 0.8 Bohr magnetons per cell. Its density of states at the Fermi level is 1.42 states/eV per atom. The calculation puts the total energy at -2.480 eV/atom. The uncorrected formation energy is -0.974 eV per atom.


The following is a PBE-GGA calculation of HoTl2RuO8 after structural relaxation, from the Alexandria database.

abc: 5.062 6.656 5.117
angles: 90.00 91.81 90.00
Space group P2/m (No. 10)
Unique sites:
Ho (0.000, 0.000, 0.000) (multiplicity 1)
Tl (0.500, 0.252, 0.500) (multiplicity 2)
Ru (0.000, 0.500, 0.000) (multiplicity 1)
O (0.184, 0.289, 0.832) (multiplicity 4)
O (0.267, 0.500, 0.285) (multiplicity 2)
O (0.294, 0.000, 0.313) (multiplicity 2)

Results
The volume comes out at 14.36 A^3/atom. The value obtained for the total magnetization is 0.9 Bohr magnetons per cell. Its density of states at the Fermi level is 0.36 states/eV per atom. The calculation puts the total energy at -6.010 eV/atom. The uncorrected formation energy is -1.156 eV per atom.


The following is a PBE-GGA calculation of ZnTe3I after structural relaxation, from the Alexandria database.

abc: 5.373 5.373 5.373
angles: 90.00 90.00 90.00
Space group Pm-3m (No. 221)
Unique sites:
Zn (0.000, 0.000, 0.000) (multiplicity 1)
Te (0.000, 0.000, 0.500) (multiplicity 3)
I (0.500, 0.500, 0.500) (multiplicity 1)

Results
The polymorph energy (0 for the lowest one) is 0.0 meV/atom. The volume comes out at 31.03 A^3/atom. The value obtained for the total magnetization is 0.0 Bohr magnetons per cell. Its density of states at the Fermi level is 0.87 states/eV per atom. The calculation puts the total energy at -2.063 eV/atom. The uncorrected formation energy is 0.387 eV per atom.


The following is a PBE-GGA calculation of MnAg2Br after structural relaxation, from the Alexandria database.

abc: 3.332 4.565 5.270
angles: 90.00 90.00 90.00
Space group Pmmm (No. 47)
Unique sites:
Mn (0.000, 0.000, 0.000) (multiplicity 1)
Ag (0.000, 0.500, 0.500) (multiplicity 1)
Ag (0.500, 0.000, 0.500) (multiplicity 1)
Br (0.500, 0.500, 0.000) (multiplicity 1)

Results
The polymorph energy (0 for the lowest one) is 243.2 meV/atom. The volume comes out at 20.04 A^3/atom. The value obtained for the total magnetization is 4.5 Bohr magnetons per cell. Its density of states at the Fermi level is 0.42 states/eV per atom. The calculation puts the total energy at -3.823 eV/atom. The uncorrected formation energy is 0.313 eV per atom.


The following is a PBE-GGA calculation of Ba2Zn3In2 after structural relaxation, from the Alexandria database.

abc: 12.919 4.710 7.281
angles: 90.00 106.43 90.00
Space group C2/m (No. 12)
Unique sites:
Ba (0.173, 0.000, 0.224) (multiplicity 4)
Zn (0.000, 0.500, 0.500) (multiplicity 2)
Zn (0.044, 0.500, 0.865) (multiplicity 4)
In (0.104, 0.000, 0.689) (multiplicity 4)

Results
The volume comes out at 30.36 A^3/atom. The value obtained for the total magnetization is 0.0 Bohr magnetons per cell. Its density of states at the Fermi level is 0.78 states/eV per atom. The calculation puts the total energy at -2.135 eV/atom. The formation energy comes out at -257 meV/atom.


The following is a PBE-GGA calculation of La2YZr after structural relaxation, from the Alexandria database.

abc: 7.157 9.822 3.557
angles: 90.00 90.00 90.00
Space group Cmmm (No. 65)
Unique sites:
La (0.250, 0.250, 0.000) (multiplicity 4)
Y (0.000, 0.000, 0.500) (multiplicity 2)
Zr (0.000, 0.500, 0.500) (multiplicity 2)

Results
The polymorph energy (0 for the lowest one) is 43.2 meV/atom. The volume comes out at 31.26 A^3/atom. The value obtained for the total magnetization is 0.0 Bohr magnetons per cell. Its density of states at the Fermi level is 1.16 states/eV per atom. The calculation puts the total energy at -6.075 eV/atom. The formation energy comes out at 142 meV/atom.


The following is a PBE-GGA calculation of Pm2PaIn after structural relaxation, from the Alexandria database.

abc: 7.686 7.686 7.686
angles: 90.00 90.00 90.00
Space group Fm-3m (No. 225)
Unique sites:
Pm (0.250, 0.250, 0.250) (multiplicity 8)
Pa (0.000, 0.000, 0.000) (multiplicity 4)
In (0.000, 0.000, 0.500) (multiplicity 4)

Results
The polymorph energy (0 for the lowest one) is 191.2 meV/atom. The volume comes out at 28.38 A^3/atom. The value obtained for the total magnetization is 0.0 Bohr magnetons per cell. Its density of states at the Fermi level is 1.31 states/eV per atom. The calculation puts the total energy at -5.307 eV/atom. The formation energy comes out at 127 meV/atom.


The following is a PBE-GGA calculation of Cu2HgTeI2 after structural relaxation, from the Alexandria database.

abc: 13.549 7.663 7.252
angles: 90.00 90.00 90.00
Space group Cmc2_1 (No. 36)
Unique sites:
Cu (0.170, 0.150, 0.000) (multiplicity 8)
Hg (0.000, 0.418, 0.442) (multiplicity 4)
Te (0.000, 0.259, 0.104) (multiplicity 4)
I (0.178, 0.173, 0.634) (multiplicity 8)

Results
The volume comes out at 31.37 A^3/atom. The value obtained for the total magnetization is 0.0 Bohr magnetons per cell. The calculation puts the total energy at -2.611 eV/atom. The uncorrected formation energy is -0.155 eV per atom.


The following is a PBE-GGA calculation of MgMoPt6 after structural relaxation, from the Alexandria database.

abc: 3.964 3.964 7.929
angles: 90.00 90.00 90.00
Space group P4/mmm (No. 123)
Unique sites:
Mg (0.000, 0.000, 0.000) (multiplicity 1)
Mo (0.000, 0.000, 0.500) (multiplicity 1)
Pt (0.000, 0.500, 0.257) (multiplicity 4)
Pt (0.500, 0.500, 0.000) (multiplicity 1)
Pt (0.500, 0.500, 0.500) (multiplicity 1)

Results
The volume comes out at 15.57 A^3/atom. The value obtained for the total magnetization is 0.4 Bohr magnetons per cell. Its density of states at the Fermi level is 0.71 states/eV per atom. The calculation puts the total energy at -6.551 eV/atom. The formation energy comes out at -467 meV/atom.


The following is a PBE-GGA calculation of NaAcDyTe3 after structural relaxation, from the Alexandria database.

abc: 8.895 4.557 10.127
angles: 90.00 106.85 90.00
Space group P2_1/m (No. 11)
Unique sites:
Na (0.096, 0.250, 0.088) (multiplicity 2)
Ac (0.210, 0.250, 0.740) (multiplicity 2)
Dy (0.326, 0.750, 0.346) (multiplicity 2)
Te (0.093, 0.250, 0.381) (multiplicity 2)
Te (0.271, 0.750, 0.009) (multiplicity 2)
Te (0.445, 0.750, 0.663) (multiplicity 2)

Results
The volume comes out at 32.73 A^3/atom. The value obtained for the total magnetization is 0.0 Bohr magnetons per cell. Its density of states at the Fermi level is 0.54 states/eV per atom. The calculation puts the total energy at -4.483 eV/atom. The uncorrected formation energy is -1.240 eV per atom.


The following is a PBE-GGA calculation of LiCd after structural relaxation, from the Alexandria database.

abc: 7.663 7.663 7.663
angles: 90.00 90.00 90.00
Space group Pm-3n (No. 223)
Unique sites:
Li (0.000, 0.250, 0.500) (multiplicity 6)
Cd (0.000, 0.500, 0.250) (multiplicity 6)

Results
The volume comes out at 37.50 A^3/atom. The value obtained for the total magnetization is 0.0 Bohr magnetons per cell. Its density of states at the Fermi level is 1.11 states/eV per atom. The calculation puts the total energy at -1.017 eV/atom. The formation energy comes out at 398 meV/atom.


The following is a PBE-GGA calculation of LiCuCl2 after structural relaxation, from the Alexandria database.

abc: 4.061 3.422 6.288
angles: 90.00 95.94 90.00
Space group P2/m (No. 10)
Unique sites:
Li (0.000, 0.000, 0.000) (multiplicity 1)
Cu (0.000, 0.000, 0.500) (multiplicity 1)
Cl (0.183, 0.500, 0.755) (multiplicity 2)

Results
The volume comes out at 21.72 A^3/atom. The value obtained for the total magnetization is 0.0 Bohr magnetons per cell. The calculation puts the total energy at -3.364 eV/atom. The uncorrected formation energy is -0.938 eV per atom.


The following is a PBE-GGA calculation of KAlSb after structural relaxation, from the Alexandria database.

abc: 7.281 7.281 7.281
angles: 90.00 90.00 90.00
Space group F-43m (No. 216)
Unique sites:
K (0.000, 0.000, 0.000) (multiplicity 4)
Al (0.250, 0.250, 0.750) (multiplicity 4)
Sb (0.000, 0.000, 0.500) (multiplicity 4)

Results
The polymorph energy (0 for the lowest one) is 336.1 meV/atom. The volume comes out at 32.16 A^3/atom. The value obtained for the total magnetization is 0.0 Bohr magnetons per cell. Its density of states at the Fermi level is 0.77 states/eV per atom. The calculation puts the total energy at -2.895 eV/atom. The uncorrected formation energy is 0.092 eV per atom.


The following is a PBE-GGA calculation of Dy6HC2S3 after structural relaxation, from the Alexandria database.

abc: 16.413 3.735 7.637
angles: 90.00 104.85 90.00
Space group C2/m (No. 12)
Unique sites:
Dy (0.012, 0.000, 0.257) (multiplicity 4)
Dy (0.166, 0.500, 0.112) (multiplicity 4)
Dy (0.175, 0.500, 0.564) (multiplicity 4)
H (0.000, 0.500, 0.000) (multiplicity 2)
C (0.164, 0.000, 0.330) (multiplicity 4)
S (0.000, 0.500, 0.500) (multiplicity 2)
S (0.164, 0.000, 0.834) (multiplicity 4)

Results
The volume comes out at 18.86 A^3/atom. The value obtained for the total magnetization is 0.0 Bohr magnetons per cell. Its density of states at the Fermi level is 0.24 states/eV per atom. The calculation puts the total energy at -6.407 eV/atom.


The following is a PBE-GGA calculation of Pm4ZnSe2 after structural relaxation, from the Alexandria database.

abc: 8.938 8.938 9.094
angles: 90.00 90.00 90.00
Space group I-42d (No. 122)
Unique sites:
Pm (0.066, 0.182, 0.307) (multiplicity 16)
Zn (0.000, 0.000, 0.000) (multiplicity 4)
Se (0.127, 0.250, 0.625) (multiplicity 8)

Results
The volume comes out at 25.95 A^3/atom. The value obtained for the total magnetization is 0.0 Bohr magnetons per cell. Its density of states at the Fermi level is 1.03 states/eV per atom. The calculation puts the total energy at -4.917 eV/atom. The uncorrected formation energy is -1.025 eV per atom.


The following is a PBE-GGA calculation of SrLi2Ca2 after structural relaxation, from the Alexandria database.

abc: 9.745 9.745 3.795
angles: 90.00 90.00 90.00
Space group P4/mbm (No. 127)
Unique sites:
Sr (0.000, 0.000, 0.000) (multiplicity 2)
Li (0.164, 0.336, 0.500) (multiplicity 4)
Ca (0.133, 0.633, 0.000) (multiplicity 4)

Results
The polymorph energy (0 for the lowest one) is 67.2 meV/atom. The volume comes out at 36.04 A^3/atom. The value obtained for the total magnetization is 0.0 Bohr magnetons per cell. Its density of states at the Fermi level is 0.77 states/eV per atom. The calculation puts the total energy at -1.811 eV/atom. The formation energy comes out at 91 meV/atom.


The following is a PBE-GGA calculation of Na2SrAuF after structural relaxation, from the Alexandria database.

abc: 4.710 4.710 5.185
angles: 90.00 90.00 90.00
Space group P4/mmm (No. 123)
Unique sites:
Na (0.000, 0.500, 0.000) (multiplicity 2)
Sr (0.000, 0.000, 0.500) (multiplicity 1)
Au (0.500, 0.500, 0.500) (multiplicity 1)
F (0.000, 0.000, 0.000) (multiplicity 1)

Results
The volume comes out at 23.01 A^3/atom. The value obtained for the total magnetization is 0.0 Bohr magnetons per cell. Its density of states at the Fermi level is 0.43 states/eV per atom. The calculation puts the total energy at -3.181 eV/atom. The uncorrected formation energy is -1.287 eV per atom.


The following is a PBE-GGA calculation of InSiMo2 after structural relaxation, from the Alexandria database.

abc: 3.084 3.084 7.002
angles: 90.00 90.00 90.00
Space group P4/mmm (No. 123)
Unique sites:
In (0.000, 0.000, 0.000) (multiplicity 1)
Si (0.000, 0.000, 0.500) (multiplicity 1)
Mo (0.500, 0.500, 0.307) (multiplicity 2)

Results
The polymorph energy (0 for the lowest one) is 25.9 meV/atom. The volume comes out at 16.65 A^3/atom. The value obtained for the total magnetization is 0.0 Bohr magnetons per cell. Its density of states at the Fermi level is 0.82 states/eV per atom. The calculation puts the total energy at -7.391 eV/atom. The uncorrected formation energy is 0.065 eV per atom.